Entry 1:
Density functional theory data (PBE-GGA) for crystalline ZrBePt at its relaxed geometry.

Offset from the most stable computed form in eV/f.u.: 1.42

a b c (Å): 4.3037 4.3037 4.3037
angles (deg): 60.00 60.00 60.00
With the nearest neighbours (Å) after each atom.
Element x y z (fractional)
Be1 0.2500 0.2500 0.2500  4 Pt 2.64
Pt1 0.0000 0.0000 0.0000  4 Zr 2.64, 4 Be 2.64
Zr1 0.7500 0.7500 0.7500  4 Pt 2.64

---

Entry 2:
Density functional theory data (PBE-GGA) for crystalline PuBe at its relaxed geometry.

Offset from the most stable computed form in eV/f.u.: 1.02

a b c (Å): 4.0983 4.0983 5.7711
angles (deg): 90.00 90.00 120.00
With the nearest neighbours (Å) after each atom.
Element x y z (fractional)
Be1 0.3333 0.6667 0.2500  6 Pu 2.77
Be2 0.6667 0.3333 0.7500  6 Pu 2.77
Pu1 0.0000 0.0000 0.0000  6 Be 2.77, 2 Pu 2.89
Pu2 0.0000 0.0000 0.5000  6 Be 2.77, 2 Pu 2.89

---

Entry 3:
Density functional theory data (PBE-GGA) for crystalline PuBe13 at its relaxed geometry.

Raw total energy in eV per formula unit: -64.65

a b c (Å): 7.2139 7.2139 7.2139
angles (deg): 120.00 90.00 120.00
With the nearest neighbours (Å) after each atom.
Element x y z (fractional)
Pu1 0.7500 0.5000 0.2500  24 Be 3.00
Pu2 0.2500 0.5000 0.7500  24 Be 3.00
Be1 0.0000 0.0000 0.0000  12 Be 2.15
Be2 0.9386 0.6476 0.9386  10 Be 2.15-2.34
Be3 0.7910 0.3524 0.5614  10 Be 2.15-2.34
Be4 0.5614 0.7704 0.5614  10 Be 2.15-2.34
Be5 0.2090 0.0000 0.5614  10 Be 2.15-2.34
Be6 0.2910 0.0000 0.0614  10 Be 2.15-2.34
Be7 0.4386 0.0000 0.7910  10 Be 2.15-2.34
Be8 0.7090 0.7704 0.0614  10 Be 2.15-2.34
Be9 0.5614 0.3524 0.7910  10 Be 2.15-2.34
Be10 0.2090 0.6476 0.4386  10 Be 2.15-2.34
Be11 0.2910 0.2296 0.9386  10 Be 2.15-2.34
Be12 0.0614 0.7704 0.7090  10 Be 2.15-2.34
Be13 0.4386 0.2296 0.4386  10 Be 2.15-2.34
Be14 0.7090 0.6476 0.7090  10 Be 2.15-2.34
Be15 0.0614 0.0000 0.2910  10 Be 2.15-2.34
Be16 0.9386 0.2296 0.2910  10 Be 2.15-2.34
Be17 0.5614 0.0000 0.2090  10 Be 2.15-2.34
Be18 0.9386 0.0000 0.7090  10 Be 2.15-2.34
Be19 0.7090 0.0000 0.9386  10 Be 2.15-2.34
Be20 0.4386 0.6476 0.2090  10 Be 2.15-2.34
Be21 0.0614 0.3524 0.0614  10 Be 2.15-2.34
Be22 0.7910 0.0000 0.4386  10 Be 2.15-2.34
Be23 0.5000 0.0000 0.5000  12 Be 2.15
Be24 0.2910 0.3524 0.2910  10 Be 2.15-2.34
Be25 0.7910 0.2296 0.7910  10 Be 2.15-2.34
Be26 0.2090 0.7704 0.2090  10 Be 2.15-2.34

---

Entry 4:
Density functional theory data (PBE-GGA) for crystalline PuBe at its relaxed geometry.

Offset from the most stable computed form in eV/f.u.: 2.54

a b c (Å): 4.3378 4.3378 4.3378
angles (deg): 60.00 60.00 60.00
With the nearest neighbours (Å) after each atom.
Element x y z (fractional)
Pu1 0.2500 0.2500 0.2500  4 Be 2.66
Be1 0.0000 0.0000 0.0000  4 Pu 2.66

---

Entry 5:
Density functional theory data (PBE-GGA) for crystalline PuBe at its relaxed geometry.

Offset from the most stable computed form in eV/f.u.: 0.00

a b c (Å): 4.6658 4.6658 3.9163
angles (deg): 90.00 90.00 120.00
With the nearest neighbours (Å) after each atom.
Element x y z (fractional)
Be1 0.0000 0.0000 0.5000  2 Be 1.96
Be2 0.0000 0.0000 0.0000  2 Be 1.96
Pu1 0.3333 0.6667 0.2500  6 Be 2.87
Pu2 0.6667 0.3333 0.7500  6 Be 2.87

---

Entry 6:
Density functional theory data (PBE-GGA) for crystalline PuBe at its relaxed geometry.

Offset from the most stable computed form in eV/f.u.: 0.22

a b c (Å): 2.5870 2.5870 4.8508
angles (deg): 90.00 90.00 120.00
With the nearest neighbours (Å) after each atom.
Element x y z (fractional)
Be1 0.6667 0.3333 0.7500  6 Be 2.59, 6 Pu 2.85
Pu1 0.3333 0.6667 0.2500  6 Pu 2.59, 6 Be 2.85

---

Entry 7:
Density functional theory data (PBE-GGA) for crystalline PuBe at its relaxed geometry.

Offset from the most stable computed form in eV/f.u.: 1.11

a b c (Å): 3.9555 3.9555 3.9555
angles (deg): 60.00 60.00 60.00
With the nearest neighbours (Å) after each atom.
Element x y z (fractional)
Be1 0.0000 0.0000 0.0000  6 Pu 2.80
Pu1 0.5000 0.5000 0.5000  6 Be 2.80

---

Entry 8:
Density functional theory data (PBE-GGA) for crystalline PuBeSb at its relaxed geometry.

Raw total energy in eV per formula unit: -22.53

a b c (Å): 4.4652 4.4652 4.4652
angles (deg): 60.00 60.00 60.00
With the nearest neighbours (Å) after each atom.
Element x y z (fractional)
Pu1 0.2500 0.2500 0.2500  4 Be 2.73
Be1 0.0000 0.0000 0.0000  4 Pu 2.73, 4 Sb 2.73
Sb1 0.7500 0.7500 0.7500  4 Be 2.73